[1]
An optimized crystal structure of HoTmHg2Au4. Source: OQMD via LeMat-Bulk, functional GGA-PBE.

## Properties
Total moment = 0.00 μB per cell
Symmetry = P4/mmm, No. 123
Formation enthalpy at 0 K = -593 meV per atom

Cell: 4.8981 4.8981 6.9311 Å, 90.00 90.00 90.00°
Closest atoms and distances in Å follow each position.
Fractional coordinates of all 8 atoms:
Au (0.5000, 0.0000, 0.2493)  4 Hg 3.00, 2 Tm 3.00, 2 Ho 3.00
Au (0.0000, 0.5000, 0.2493)  4 Hg 3.00, 2 Tm 3.00, 2 Ho 3.00
Au (0.5000, 0.0000, 0.7507)  4 Hg 3.00, 2 Tm 3.00, 2 Ho 3.00
Au (0.0000, 0.5000, 0.7507)  2 Tm 3.00, 4 Hg 3.00, 2 Ho 3.00
Hg (0.0000, 0.0000, 0.0000)  8 Au 3.00
Hg (0.5000, 0.5000, 0.5000)  8 Au 3.00
Ho (0.0000, 0.0000, 0.5000)  8 Au 3.00
Tm (0.5000, 0.5000, 0.0000)  8 Au 3.00

=====

[2]
An optimized crystal structure of Gd2I. Source: OQMD via LeMat-Bulk, functional GGA-PBE.

## Properties
Electronic total energy = -10.40 eV/f.u.
Total moment = 0.16 μB per cell
Symmetry = Fd-3m, No. 227

Cell: 6.6596 6.6596 6.6596 Å, 60.00 60.00 60.00°
Closest atoms and distances in Å follow each position.
Fractional coordinates of all 6 atoms:
Gd (0.6250, 0.6250, 0.1250)  6 Gd 3.33
Gd (0.6250, 0.1250, 0.6250)  6 Gd 3.33
Gd (0.1250, 0.6250, 0.6250)  6 Gd 3.33
Gd (0.6250, 0.6250, 0.6250)  6 Gd 3.33
I (0.0000, 0.0000, 0.0000)  12 Gd 3.90, 4 I 4.08
I (0.2500, 0.2500, 0.2500)  12 Gd 3.90, 4 I 4.08

=====

[3]
An optimized crystal structure of RbHg. Source: OQMD via LeMat-Bulk, functional GGA-PBE.

## Properties
Electronic total energy = -1.13 eV/f.u.
Symmetry = P6_3mc, No. 186

Cell: 5.6618 5.6618 9.1777 Å, 90.00 90.00 120.00°
Closest atoms and distances in Å follow each position.
Fractional coordinates of all 4 atoms:
Hg (0.3333, 0.6667, 0.4996)  4 Rb 3.45-3.46
Hg (0.0000, 0.0000, 0.9996)  4 Rb 3.45-3.46
Rb (0.0000, 0.0000, 0.3754)  4 Hg 3.45-3.46
Rb (0.3333, 0.6667, 0.8754)  4 Hg 3.45-3.46

=====

[4]
An optimized crystal structure of NaLiZrTe3. Source: OQMD via LeMat-Bulk, functional GGA-PBE.

## Properties
Electronic total energy = -26.58 eV/f.u.
Total moment = 0.01 μB per cell
Symmetry = Cmcm, No. 63

Cell: 7.5096 7.5096 11.0377 Å, 90.00 90.00 147.96°
Closest atoms and distances in Å follow each position.
Fractional coordinates of all 12 atoms:
Li (0.4688, 0.5312, 0.2500)  4 Te 2.64-2.67
Li (0.5312, 0.4688, 0.7500)  4 Te 2.64-2.67
Na (0.7565, 0.2435, 0.2500)  6 Te 3.26-3.37
Na (0.2435, 0.7565, 0.7500)  6 Te 3.26-3.37
Te (0.3622, 0.6378, 0.0528)  1 Li 2.67, 2 Zr 2.93
Te (0.0824, 0.9176, 0.2500)  2 Li 2.64
Te (0.3622, 0.6378, 0.4472)  1 Li 2.67, 2 Zr 2.93
Te (0.6378, 0.3622, 0.5528)  1 Li 2.67, 2 Zr 2.93
Te (0.9176, 0.0824, 0.7500)  2 Li 2.64
Te (0.6378, 0.3622, 0.9472)  1 Li 2.67, 2 Zr 2.93
Zr (0.0000, 0.0000, 0.0000)  6 Te 2.93-3.00
Zr (0.0000, 0.0000, 0.5000)  6 Te 2.93-3.00